[1]
Compound: Pr8As4Se3
Source: the Alexandria database
Functional: PBE
Structure: relaxed

Results
- space-group type = C2/m, No. 12
- uncorrected formation energy (eV per atom) = -1.56

Structure (CIF):
```
data_Pr8As4Se3
_cell_length_a 8.541
_cell_length_b 8.541
_cell_length_c 8.541
_cell_angle_alpha 119.92
_cell_angle_beta 119.92
_cell_angle_gamma 90.10
_space_group_name_H-M_alt 'P 1'
_space_group_IT_number 1
loop_
_space_group_symop_operation_xyz
'x,y,z'
loop_
_atom_site_label
_atom_site_type_symbol
_atom_site_fract_x
_atom_site_fract_y
_atom_site_fract_z
Pr1 Pr 0.246 0.754 0.000
Pr2 Pr 0.249 0.249 0.496
Pr3 Pr 0.252 0.252 0.010
Pr4 Pr 0.253 0.747 0.500
Pr5 Pr 0.747 0.253 0.500
Pr6 Pr 0.748 0.748 0.990
Pr7 Pr 0.751 0.751 0.504
Pr8 Pr 0.754 0.246 0.000
As1 As 0.000 0.000 0.000
As2 As 0.000 0.500 0.500
As3 As 0.500 0.000 0.500
As4 As 0.500 0.500 0.500
Se1 Se 0.000 0.500 0.000
Se2 Se 0.500 0.000 0.000
Se3 Se 0.500 0.500 0.000
```

=====

[2]
Compound: Pr2AsSe
Source: the Alexandria database
Functional: PBE
Structure: relaxed

Results
- space-group type = R3m, No. 160
- uncorrected formation energy (eV per atom) = -1.65

Structure (CIF):
```
data_Pr2AsSe
_cell_length_a 7.799
_cell_length_b 7.799
_cell_length_c 7.799
_cell_angle_alpha 31.29
_cell_angle_beta 31.29
_cell_angle_gamma 31.29
_space_group_name_H-M_alt 'P 1'
_space_group_IT_number 1
loop_
_space_group_symop_operation_xyz
'x,y,z'
loop_
_atom_site_label
_atom_site_type_symbol
_atom_site_fract_x
_atom_site_fract_y
_atom_site_fract_z
Pr1 Pr 0.000 0.000 0.000
Pr2 Pr 0.179 0.179 0.179
As1 As 0.588 0.588 0.588
Se1 Se 0.757 0.757 0.757
```

=====

[3]
Compound: Pr6AsSe5
Source: the Alexandria database
Functional: PBE
Structure: relaxed

Results
- space-group type = C2/m, No. 12
- uncorrected formation energy (eV per atom) = -1.82

Structure (CIF):
```
data_Pr6AsSe5
_cell_length_a 7.400
_cell_length_b 7.400
_cell_length_c 7.419
_cell_angle_alpha 99.51
_cell_angle_beta 99.51
_cell_angle_gamma 120.06
_space_group_name_H-M_alt 'P 1'
_space_group_IT_number 1
loop_
_space_group_symop_operation_xyz
'x,y,z'
loop_
_atom_site_label
_atom_site_type_symbol
_atom_site_fract_x
_atom_site_fract_y
_atom_site_fract_z
Pr1 Pr 0.082 0.407 0.244
Pr2 Pr 0.245 0.245 0.756
Pr3 Pr 0.407 0.082 0.244
Pr4 Pr 0.593 0.918 0.756
Pr5 Pr 0.755 0.755 0.244
Pr6 Pr 0.918 0.593 0.756
As1 As 0.000 0.000 0.000
Se1 Se 0.168 0.832 0.500
Se2 Se 0.333 0.667 0.000
Se3 Se 0.500 0.500 0.500
Se4 Se 0.667 0.333 0.000
Se5 Se 0.832 0.168 0.500
```

=====

[4]
Compound: Pr4AsSe2
Source: the Alexandria database
Functional: PBE
Structure: relaxed

Results
- space-group type = Cmcm, No. 63
- uncorrected formation energy (eV per atom) = -1.42

Structure (CIF):
```
data_Pr4AsSe2
_cell_length_a 7.253
_cell_length_b 7.253
_cell_length_c 14.170
_cell_angle_alpha 90.00
_cell_angle_beta 90.00
_cell_angle_gamma 146.75
_space_group_name_H-M_alt 'P 1'
_space_group_IT_number 1
loop_
_space_group_symop_operation_xyz
'x,y,z'
loop_
_atom_site_label
_atom_site_type_symbol
_atom_site_fract_x
_atom_site_fract_y
_atom_site_fract_z
Pr1 Pr 0.000 0.000 0.000
Pr2 Pr 0.000 0.000 0.500
Pr3 Pr 0.283 0.717 0.626
Pr4 Pr 0.283 0.717 0.874
Pr5 Pr 0.448 0.552 0.250
Pr6 Pr 0.552 0.448 0.750
Pr7 Pr 0.717 0.283 0.126
Pr8 Pr 0.717 0.283 0.374
As1 As 0.102 0.898 0.250
As2 As 0.898 0.102 0.750
Se1 Se 0.360 0.640 0.064
Se2 Se 0.360 0.640 0.436
Se3 Se 0.640 0.360 0.564
Se4 Se 0.640 0.360 0.936
```

=====

[5]
Compound: PrAsSe4
Source: the Alexandria database
Functional: PBE
Structure: relaxed

Results
- space-group type = P2_1/m, No. 11
- uncorrected formation energy (eV per atom) = -0.73

Structure (CIF):
```
data_PrAsSe4
_cell_length_a 6.156
_cell_length_b 9.523
_cell_length_c 6.370
_cell_angle_alpha 90.00
_cell_angle_beta 101.80
_cell_angle_gamma 90.00
_space_group_name_H-M_alt 'P 1'
_space_group_IT_number 1
loop_
_space_group_symop_operation_xyz
'x,y,z'
loop_
_atom_site_label
_atom_site_type_symbol
_atom_site_fract_x
_atom_site_fract_y
_atom_site_fract_z
Pr1 Pr 0.130 0.250 0.190
Pr2 Pr 0.870 0.750 0.810
As1 As 0.394 0.750 0.326
As2 As 0.606 0.250 0.674
Se1 Se 0.201 0.563 0.099
Se2 Se 0.201 0.937 0.099
Se3 Se 0.224 0.250 0.674
Se4 Se 0.357 0.750 0.684
Se5 Se 0.643 0.250 0.316
Se6 Se 0.776 0.750 0.326
Se7 Se 0.799 0.063 0.901
Se8 Se 0.799 0.437 0.901
```

=====

[6]
Compound: Pr5As4Se
Source: the Alexandria database
Functional: PBE
Structure: relaxed

Results
- space-group type = Immm, No. 71
- uncorrected formation energy (eV per atom) = -1.61

Structure (CIF):
```
data_Pr5As4Se
_cell_length_a 11.396
_cell_length_b 11.396
_cell_length_c 11.396
_cell_angle_alpha 158.24
_cell_angle_beta 149.06
_cell_angle_gamma 38.15
_space_group_name_H-M_alt 'P 1'
_space_group_IT_number 1
loop_
_space_group_symop_operation_xyz
'x,y,z'
loop_
_atom_site_label
_atom_site_type_symbol
_atom_site_fract_x
_atom_site_fract_y
_atom_site_fract_z
Pr1 Pr 0.000 0.000 0.000
Pr2 Pr 0.200 0.200 0.000
Pr3 Pr 0.396 0.396 0.000
Pr4 Pr 0.604 0.604 0.000
Pr5 Pr 0.800 0.800 0.000
As1 As 0.099 0.599 0.500
As2 As 0.300 0.800 0.500
As3 As 0.700 0.200 0.500
As4 As 0.901 0.401 0.500
Se1 Se 0.500 0.000 0.500
```

=====

[7]
Compound: Pr2AsSe
Source: the Alexandria database
Functional: PBE
Structure: relaxed

Results
- space-group type = R-3m, No. 166
- uncorrected formation energy (eV per atom) = -1.73

Structure (CIF):
```
data_Pr2AsSe
_cell_length_a 7.471
_cell_length_b 7.471
_cell_length_c 7.471
_cell_angle_alpha 33.31
_cell_angle_beta 33.31
_cell_angle_gamma 33.31
_space_group_name_H-M_alt 'P 1'
_space_group_IT_number 1
loop_
_space_group_symop_operation_xyz
'x,y,z'
loop_
_atom_site_label
_atom_site_type_symbol
_atom_site_fract_x
_atom_site_fract_y
_atom_site_fract_z
Pr1 Pr 0.246 0.246 0.246
Pr2 Pr 0.754 0.754 0.754
As1 As 0.500 0.500 0.500
Se1 Se 0.000 0.000 0.000
```

=====

[8]
Compound: Pr2AsSe
Source: the Alexandria database
Functional: PBE
Structure: relaxed

Results
- space-group type = Pmmn, No. 59
- uncorrected formation energy (eV per atom) = -1.73

Structure (CIF):
```
data_Pr2AsSe
_cell_length_a 4.284
_cell_length_b 6.060
_cell_length_c 8.614
_cell_angle_alpha 90.00
_cell_angle_beta 90.00
_cell_angle_gamma 90.00
_space_group_name_H-M_alt 'P 1'
_space_group_IT_number 1
loop_
_space_group_symop_operation_xyz
'x,y,z'
loop_
_atom_site_label
_atom_site_type_symbol
_atom_site_fract_x
_atom_site_fract_y
_atom_site_fract_z
Pr1 Pr 0.250 0.250 0.117
Pr2 Pr 0.250 0.250 0.636
Pr3 Pr 0.750 0.750 0.364
Pr4 Pr 0.750 0.750 0.883
As1 As 0.250 0.750 0.126
As2 As 0.750 0.250 0.874
Se1 Se 0.250 0.750 0.622
Se2 Se 0.750 0.250 0.378
```

=====

Repeat the fifth record exactly.
Compound: PrAsSe4
Source: the Alexandria database
Functional: PBE
Structure: relaxed

Results
- space-group type = P2_1/m, No. 11
- uncorrected formation energy (eV per atom) = -0.73

Structure (CIF):
```
data_PrAsSe4
_cell_length_a 6.156
_cell_length_b 9.523
_cell_length_c 6.370
_cell_angle_alpha 90.00
_cell_angle_beta 101.80
_cell_angle_gamma 90.00
_space_group_name_H-M_alt 'P 1'
_space_group_IT_number 1
loop_
_space_group_symop_operation_xyz
'x,y,z'
loop_
_atom_site_label
_atom_site_type_symbol
_atom_site_fract_x
_atom_site_fract_y
_atom_site_fract_z
Pr1 Pr 0.130 0.250 0.190
Pr2 Pr 0.870 0.750 0.810
As1 As 0.394 0.750 0.326
As2 As 0.606 0.250 0.674
Se1 Se 0.201 0.563 0.099
Se2 Se 0.201 0.937 0.099
Se3 Se 0.224 0.250 0.674
Se4 Se 0.357 0.750 0.684
Se5 Se 0.643 0.250 0.316
Se6 Se 0.776 0.750 0.326
Se7 Se 0.799 0.063 0.901
Se8 Se 0.799 0.437 0.901
```

=====

Which value of uncorrected formation energy does entry 4 give?
-1.42 eV per atom

=====

Which formula does entry 8 have?
Pr2AsSe

=====

The highest uncorrected formation energy belongs to which entry?
PrAsSe4